RhPbSe2N: optimized geometry, PBE-GGA.

Cell: 5.461 5.461 4.250 Å, 90.00 90.00 90.00°
Atoms (fractional coordinates):
Pb (0.000, 0.000, 0.000)
Rh (0.500, 0.500, 0.500)
Se (0.000, 0.500, 0.000)
Se (0.500, 0.000, 0.000)
N (0.000, 0.000, 0.500)

Formation energy from raw total energies, meV/atom: 1545.8
Total energy, eV per cell: -18.63
Space-group type: P4/mmm
Energy relative to the lowest polymorph listed for this composition, eV per formula unit: 6.95



RhPbSe2N: optimized geometry, PBE-GGA.

Cell: 5.296 5.296 3.697 Å, 90.00 90.00 90.00°
Atoms (fractional coordinates):
Pb (0.500, 0.500, 0.500)
Rh (0.000, 0.000, 0.000)
Se (0.000, 0.500, 0.000)
Se (0.500, 0.000, 0.000)
N (0.000, 0.000, 0.500)

Formation energy from raw total energies, meV/atom: 156.1
Total energy, eV per cell: -25.57
Space-group type: P4/mmm
Energy relative to the lowest polymorph listed for this composition, eV per formula unit: 0.00



RhPbSeN2: optimized geometry, PBE-GGA.

Cell: 4.013 4.013 5.319 Å, 90.00 90.00 90.00°
Atoms (fractional coordinates):
Pb (0.500, 0.500, 0.500)
Rh (0.000, 0.000, 0.000)
Se (0.000, 0.000, 0.500)
N (0.000, 0.500, 0.000)
N (0.500, 0.000, 0.000)

Formation energy from raw total energies, meV/atom: 911.4
Total energy, eV per cell: -26.64
Space-group type: P4/mmm
Energy relative to the lowest polymorph listed for this composition, eV per formula unit: 0.00



Q: Number 3 is which compound?
A: RhPbSeN2



Q: The highest formation energy from raw total energies belongs to which entry?
A: number 1